Record 1
{
  "formula": "Pu3Tc2Hg",
  "functional": "PBE",
  "state": "optimized geometry",
  "cell": [[3.2695, 0.0000, 0.0000], [0.0000, 3.2695, 0.0000], [0.0000, 0.0000, 12.0707]],
  "species": ["Pu", "Pu", "Hg", "Pu", "Tc", "Tc"],
  "frac_coords": [[0.0000, 0.0000, 0.0000], [0.0000, 0.0000, 0.7047], [0.5000, 0.5000, 0.5000], [0.0000, 0.0000, 0.2953], [0.5000, 0.5000, 0.1475], [0.5000, 0.5000, 0.8525]],
  "total_magnetization_mub_per_cell": 14.286,
  "density_g_cm3": 14.524,
  "volume_a3_per_cell": 129.0,
  "formation_energy_mev_per_atom": -39.3,
  "energy_ev_per_atom": -10.711
}

Record 2
{
  "formula": "CoPIr2",
  "functional": "PBE",
  "state": "optimized geometry",
  "cell": [[3.8270, 0.0000, 0.0000], [0.0000, 2.8312, -0.0012], [0.0000, 1.4904, 4.9625]],
  "species": ["Co", "Ir", "Ir", "P"],
  "frac_coords": [[0.5000, 0.7500, 0.7500], [0.0000, 0.1304, 0.0102], [0.0000, 0.3696, 0.4898], [0.5000, 0.2500, 0.2500]],
  "total_magnetization_mub_per_cell": 1.765,
  "density_g_cm3": 14.647,
  "volume_a3_per_cell": 53.8,
  "formation_energy_mev_per_atom": -15.2,
  "energy_ev_per_atom": -7.575
}

Record 3
{
  "formula": "Pu2ZrNb",
  "functional": "PBE",
  "state": "optimized geometry",
  "cell": [[3.7463, 0.0000, 0.0000], [0.0000, 3.7463, 0.0000], [0.0000, 0.0000, 6.4457]],
  "species": ["Pu", "Pu", "Nb", "Zr"],
  "frac_coords": [[0.0000, 0.0000, 0.2357], [0.0000, 0.0000, 0.7643], [0.5000, 0.5000, 0.0000], [0.5000, 0.5000, 0.5000]],
  "total_magnetization_mub_per_cell": 10.841,
  "density_g_cm3": 12.338,
  "volume_a3_per_cell": 90.5,
  "formation_energy_mev_per_atom": 326.2,
  "energy_ev_per_atom": -11.494
}

Record 4
{
  "formula": "CePr3Si4",
  "functional": "PBE",
  "state": "optimized geometry",
  "cell": [[-3.2677, 1.3718, 2.3740], [-4.0924, -3.1987, -3.7846], [4.3765, -5.4954, 5.3673]],
  "species": ["Pr", "Si", "Si", "Si", "Si", "Pr", "Ce", "Pr"],
  "frac_coords": [[0.1915, 0.1915, 0.3830], [0.3705, 0.5533, 0.7410], [0.6295, 0.8123, 0.2590], [0.3705, 0.1877, 0.7410], [0.6295, 0.4467, 0.2590], [0.8085, 0.8085, 0.6170], [0.5000, 0.0000, 0.0000], [0.0000, 0.5000, 0.0000]],
  "total_magnetization_mub_per_cell": 0.625,
  "density_g_cm3": 5.141,
  "volume_a3_per_cell": 218.1,
  "raw_formation_energy_mev_per_atom": -484.6,
  "energy_ev_per_atom": -5.730
}

Record 5
{
  "formula": "MgTeSe2",
  "functional": "PBE",
  "state": "optimized geometry",
  "cell": [[3.0886, 0.0333, 0.0000], [0.0909, 3.0874, 0.0000], [0.0000, 0.0000, 11.4529]],
  "species": ["Mg", "Se", "Se", "Te"],
  "frac_coords": [[0.5000, 0.5000, 0.7727], [0.0000, 0.0000, 0.9144], [0.5000, 0.5000, 0.2519], [0.0000, 0.0000, 0.5610]],
  "total_magnetization_mub_per_cell": 0.000,
  "density_g_cm3": 4.712,
  "volume_a3_per_cell": 109.2,
  "raw_formation_energy_mev_per_atom": -27.7,
  "energy_ev_per_atom": -2.954
}

Record 6
{
  "formula": "Pr3Sm2YTe6",
  "functional": "PBE",
  "state": "optimized geometry",
  "cell": [[4.4438, 0.0000, 0.0000], [0.0000, 9.0183, 0.2993], [-2.2219, -2.6216, 9.4089]],
  "species": ["Te", "Pr", "Sm", "Pr", "Te", "Te", "Te", "Pr", "Te", "Te", "Y", "Sm"],
  "frac_coords": [[0.0010, 0.2410, 0.0019], [0.8309, 0.1664, 0.6618], [0.8320, 0.6647, 0.6641], [0.5000, 0.5000, 0.0000], [0.6623, 0.0858, 0.3245], [0.3377, 0.9142, 0.6755], [0.9990, 0.7590, 0.9981], [0.1691, 0.8336, 0.3382], [0.3324, 0.4207, 0.6649], [0.6676, 0.5793, 0.3351], [0.5000, 0.0000, 0.0000], [0.1680, 0.3353, 0.3359]],
  "total_magnetization_mub_per_cell": 0.000,
  "density_g_cm3": 6.885,
  "volume_a3_per_cell": 380.6,
  "raw_formation_energy_mev_per_atom": -1401.8,
  "energy_ev_per_atom": -5.493
}